The following is a DFT calculation (PBE) of crystalline CaCrW2 at its relaxed geometry.

The value obtained for the formation energy is 2.7 eV/f.u. The calculation puts the energy above the most stable polymorph in this dataset at 0.22 eV per formula unit.

It has space group P4/mmm (No. 123), with a = 2.9624 Å, b = 2.9624 Å, c = 8.2747 Å, α = 90.00°, β = 90.00° and γ = 90.00°. The inequivalent atoms are Ca at (0.0000, 0.0000, 0.0000), Cr at (0.0000, 0.0000, 0.5000) and W at (0.5000, 0.5000, 0.3179).


The following is a DFT calculation (PBE) of crystalline PrGeSeO2 at its relaxed geometry.

As for the uncorrected formation energy: -9.21 eV per formula unit.

It has space group Cmcm (No. 63), with a = 5.4619 Å, b = 12.0657 Å, c = 5.3097 Å, α = 90.00°, β = 90.00° and γ = 90.00°. The inequivalent atoms are Pr at (0.0000, 0.1272, 0.2500), Ge at (0.0000, 0.4375, 0.2500), Se at (0.0000, 0.2522, 0.7500) and O at (0.2274, 0.5000, 0.0000).


The following is a DFT calculation (PBE) of crystalline Cd6Ag4Pd at its relaxed geometry.

The value obtained for the formation energy is -0.4 eV/f.u.

It has space group I-42m (No. 121), with a = 5.6138 Å, b = 5.6138 Å, c = 14.5908 Å, α = 90.00°, β = 90.00° and γ = 90.00°. The inequivalent atoms are Cd at (0.0000, 0.5000, 0.0000), Cd at (0.1915, 0.1915, 0.1676), Ag at (0.1844, 0.1844, 0.3618) and Pd at (0.0000, 0.0000, 0.0000).


The following is a DFT calculation (PBE) of crystalline YInIr2 at its relaxed geometry.

The value obtained for the formation energy is -1.4 eV/f.u.

It has space group I-4m2 (No. 119), with a = 4.0175 Å, b = 4.0175 Å, c = 9.2109 Å, α = 90.00°, β = 90.00° and γ = 90.00°. The inequivalent atoms are Y at (0.0000, 0.0000, 0.0000), In at (0.0000, 0.5000, 0.2500), Ir at (0.0000, 0.0000, 0.5000) and Ir at (0.0000, 0.5000, 0.7500).


In μB/cell, the total magnetization values for the records above are, in order, 0.0; 0.0; 0.0; 0.0.